No. 1
ZnCoOs2 | GGA-PBE | relaxed

Results
Density of states at the Fermi level in states/eV/cell: 2.60
Crystal system: trigonal

a = 8.729 Å, b = 8.729 Å, c = 8.729 Å
α = 17.77°, β = 17.77°, γ = 17.77°
Each line ends with the local moment (μB).
Fractional coordinates of all 4 atoms:
Os 0.496 0.496 0.496  0.09
Os 0.004 0.004 0.004  0.09
Zn 0.250 0.250 0.250  0.00
Co 0.750 0.750 0.750  1.38

---

No. 2
ZnCoOs2 | GGA-PBE | relaxed

Results
Density of states at the Fermi level in states/eV/cell: 4.01
Crystal system: monoclinic

a = 4.584 Å, b = 4.584 Å, c = 4.635 Å
α = 79.88°, β = 79.88°, γ = 34.03°
Fractional coordinates of all 4 atoms:
Os 0.511 0.511 0.489
Os 0.989 0.989 0.011
Co 0.250 0.250 0.250
Zn 0.750 0.750 0.750

---

Number 1: energy of formation 0.192 eV per atom. Number 2: energy of formation 0.223 eV per atom.